Record 1
## Dy2TmGa3CuNi2 (PBE-GGA)

Data for a relaxed structure of Dy2TmGa3CuNi2.

Values from the calculation:
Total magnetic moment (μB/f.u.): 0.00
ρ (g/cm³): 9.07

a b c (Å): 3.708 12.287 7.103
angles (deg): 90.00 90.00 90.00
Space group Amm2 (No. 38)
Inequivalent atoms, fractional coordinates:
Dy  0.000  0.206  0.000 (multiplicity 4)
Tm  0.000  0.000  0.382 (multiplicity 2)
Ga  0.500  0.000  0.051 (multiplicity 2)
Ga  0.500  0.127  0.664 (multiplicity 4)
Cu  0.000  0.000  0.792 (multiplicity 2)
Ni  0.500  0.165  0.294 (multiplicity 4)

Record 2
## TmNbPb2O6 (PBE-GGA)

Data for a relaxed structure of TmNbPb2O6.

Values from the calculation:
Offset from the most stable computed form (eV/atom): 0.0158
Total magnetic moment (μB/f.u.): 0.00
ρ (g/cm³): 9.08

a b c (Å): 5.791 5.791 8.424
angles (deg): 90.00 90.00 90.00
Space group I4/m (No. 87)
Inequivalent atoms, fractional coordinates:
Tm  0.000  0.000  0.000 (multiplicity 2)
Nb  0.000  0.000  0.500 (multiplicity 2)
Pb  0.000  0.500  0.250 (multiplicity 4)
O  0.000  0.000  0.261 (multiplicity 4)
O  0.177  0.299  0.500 (multiplicity 8)

Record 3
## TbGd2MgO6 (PBE-GGA)

Data for a relaxed structure of TbGd2MgO6.

Values from the calculation:
Total magnetic moment (μB/f.u.): 1.00
ρ (g/cm³): 7.61

a b c (Å): 5.566 5.827 9.578
angles (deg): 90.00 123.50 90.00
Space group P2_1/c (No. 14)
Inequivalent atoms, fractional coordinates:
Tb  0.000  0.000  0.000 (multiplicity 2)
Gd  0.283  0.064  0.753 (multiplicity 4)
Mg  0.500  0.000  0.500 (multiplicity 2)
O  0.113  0.069  0.261 (multiplicity 4)
O  0.283  0.690  0.076 (multiplicity 4)
O  0.391  0.204  0.073 (multiplicity 4)

no.,calculated total energy (eV/atom)
1,-4.777
2,-7.433
3,-7.531